(1)
Here is BaFe3Hg at its PBEsol-relaxed geometry from Alexandria via LeMat-Bulk. Energies are from SCAN.

Unit cell a=4.7910 b=4.7910 c=4.7910 alpha=90.00 beta=90.00 gamma=90.00
Fractional coordinates of all 5 atoms:
Ba1 0.0000 0.0000 0.0000
Fe1 0.0000 0.0000 0.5000
Fe2 0.0000 0.5000 0.0000
Fe3 0.5000 0.0000 0.0000
Hg1 0.5000 0.5000 0.5000

* SG: Pm-3m


(2)
Here is Ba3FeHg at its PBEsol-relaxed geometry from Alexandria via LeMat-Bulk. Energies are from SCAN.

Unit cell a=5.6946 b=5.6946 c=5.6946 alpha=90.00 beta=90.00 gamma=90.00
Fractional coordinates of all 5 atoms:
Ba1 0.0000 0.0000 0.5000
Ba2 0.0000 0.5000 0.0000
Ba3 0.5000 0.0000 0.0000
Fe1 0.0000 0.0000 0.0000
Hg1 0.5000 0.5000 0.5000

* SG: Pm-3m
* energy relative to the lowest polymorph listed for this composition: 0 meV per atom


(3)
Here is BaFeHg2 at its PBEsol-relaxed geometry from Alexandria via LeMat-Bulk. Energies are from SCAN.

Unit cell a=4.5976 b=4.5976 c=6.4503 alpha=110.89 beta=110.89 gamma=60.12
Fractional coordinates of all 4 atoms:
Ba1 0.0000 0.0000 0.0000
Fe1 0.1871 0.1871 0.5636
Hg1 0.5376 0.5376 0.6140
Hg2 0.7989 0.7989 0.3981

* SG: Cm


Values of magnetic moment, in order: 7.1, 1.8, 2.8, all in μB per cell.
Values of calculated formation energy, in order: 2.291, 0.266, -0.108, all in eV per atom.